Nd2Bi2O5 | GGA-PBE | optimized geometry

POSCAR file:
```
Nd2Bi2O5
1.0
7.4720 0.0000 0.0000
0.0000 4.4134 0.0000
0.0000 0.0000 4.4134
O Bi Nd
5 2 2
Direct
0.7301 0.5000 0.0000
0.5000 0.5000 0.5000
0.2699 0.5000 0.0000
0.7301 0.0000 0.5000
0.2699 0.0000 0.5000
0.2148 0.5000 0.5000
0.7852 0.5000 0.5000
0.0000 0.0000 0.0000
0.5000 0.0000 0.0000
```

Values from the calculation:
- Distance to the lowest polymorph of the same formula: 482 meV per atom
- Electronic total energy: -6.223 eV/atom

---

Nd3BiO6 | GGA-PBE | optimized geometry

POSCAR file:
```
Nd3BiO6
1.0
5.9310 0.0000 0.0000
0.0000 6.2102 0.0000
-5.9162 0.0000 8.6905
O Nd Bi
12 6 2
Direct
0.0998 0.8163 0.9185
0.9002 0.3163 0.5815
0.4077 0.5865 0.2515
0.2455 0.3161 0.9227
0.0998 0.6837 0.4185
0.5923 0.4135 0.7485
0.9002 0.1837 0.0815
0.2455 0.1839 0.4227
0.5923 0.0865 0.2485
0.7545 0.8161 0.5773
0.7545 0.6839 0.0773
0.4077 0.9135 0.7515
0.7643 0.4461 0.2482
0.7643 0.0539 0.7482
0.5000 0.5000 0.5000
0.5000 0.0000 0.0000
0.2357 0.9461 0.2518
0.2357 0.5539 0.7518
0.0000 0.5000 0.0000
0.0000 0.0000 0.5000
```

Values from the calculation:
- Electronic total energy: -7.523 eV/atom